Record 1
Ba2HfGaBr (PBE, optimized geometry); E_form (uncorrected) = -0.0616 eV per atom; DOS at the Fermi energy = 0.954 states/eV/atom; total magnetization = 0.373 μB per atom; space-group type = No. 123; total DFT energy (no corrections) = -3.76 eV per atom
1.0
-4.805 3.406 -2.828
1.055 -2.254 -4.506
-4.220 -4.786 1.406
Hf Ga Br Ba
1 1 1 2
direct
0.000 0.500 0.000
0.000 0.000 0.000
0.500 0.500 0.500
0.000 0.000 0.500
0.500 0.000 0.000



Record 2
PtBrCl2 (PBE, optimized geometry); E_form (uncorrected) = 0.7582 eV per atom; DOS at the Fermi energy = 1.358 states/eV/atom; total magnetization = 0.105 μB per atom; E above lowest polymorph = 4.157 eV per formula unit; space-group type = No. 216; total DFT energy (no corrections) = -2.09 eV per atom
1.0
4.792 0.000 0.000
2.396 4.150 0.000
2.396 1.383 3.913
Br Cl Pt
1 2 1
direct
0.500 0.500 0.500
0.000 0.000 0.000
0.250 0.250 0.250
0.750 0.750 0.750



Record 3
LaTi2Ir (PBE, optimized geometry); DOS at the Fermi energy = 1.703 states/eV/atom; total magnetization = 0.157 μB per atom; ΔH_f (0 K) = 0.169 eV per atom; space-group type = No. 122; total DFT energy (no corrections) = -7.23 eV per atom
1.0
-0.615 -1.790 -3.567
2.120 -3.204 1.242
-7.896 -6.805 2.490
Ti La Ir
4 2 2
direct
0.875 0.902 0.750
0.375 0.348 0.750
0.098 0.625 0.250
0.652 0.125 0.250
0.250 0.750 0.500
0.500 0.500 0.000
0.750 0.250 0.500
0.000 0.000 0.000



Record 4
LaYZnHg (PBE, optimized geometry); DOS at the Fermi energy = 1.168 states/eV/atom; total magnetization = 0.162 μB per atom; E above lowest polymorph = 0.128 eV per formula unit; ΔH_f (0 K) = -0.387 eV per atom; space-group type = No. 216; total DFT energy (no corrections) = -3.63 eV per atom
1.0
-4.011 2.091 2.808
-4.207 -3.003 1.275
-0.774 -1.490 5.052
La Hg Y Zn
1 1 1 1
direct
0.250 0.250 0.250
0.500 0.500 0.500
0.750 0.750 0.750
0.000 0.000 0.000



Record 5
IrNF2 (PBE, optimized geometry); E_form (uncorrected) = 0.6553 eV per atom; DOS at the Fermi energy = 1.015 states/eV/atom; total magnetization = 0.405 μB per atom; E above lowest polymorph = 3.741 eV per formula unit; space-group type = No. 166; total DFT energy (no corrections) = -4.58 eV per atom
1.0
-8.346 -1.209 4.208
-8.721 -2.836 2.174
-7.503 -3.699 4.341
F N Ir
2 1 1
direct
0.068 0.068 0.068
0.932 0.932 0.932
0.500 0.500 0.500
0.000 0.000 0.000



Record 6
PaRe2O8F (PBE, optimized geometry); E_form (uncorrected) = -2.1260 eV per atom; DOS at the Fermi energy = 0.414 states/eV/atom; total magnetization = 0.135 μB per atom; space-group type = No. 164; total DFT energy (no corrections) = -8.45 eV per atom
1.0
-5.863 -2.484 -2.241
-0.073 -5.610 -3.754
-0.389 -2.618 3.921
O Re F Pa
8 2 1 1
direct
0.667 0.667 0.640
0.374 0.813 0.159
0.626 0.187 0.841
0.187 0.187 0.842
0.813 0.813 0.158
0.333 0.333 0.360
0.187 0.626 0.841
0.813 0.374 0.159
0.667 0.667 0.272
0.333 0.333 0.728
0.000 0.000 0.500
0.000 0.000 0.000



Record 7
Sr2Tl6Zn (PBE, optimized geometry); DOS at the Fermi energy = 0.576 states/eV/atom; total magnetization = 0.000 μB per atom; ΔH_f (0 K) = -0.202 eV per atom; space-group type = No. 164; total DFT energy (no corrections) = -2.29 eV per atom
1.0
-5.023 0.270 3.868
1.176 -6.641 1.993
4.167 -1.333 5.506
Tl Sr Zn
6 2 1
direct
0.691 0.174 0.652
0.309 0.348 0.826
0.309 0.826 0.826
0.691 0.652 0.174
0.691 0.174 0.174
0.309 0.826 0.348
0.827 0.667 0.667
0.173 0.333 0.333
0.000 0.000 0.000



Record 8
USb2Pt9 (PBE, optimized geometry); E_form (uncorrected) = -0.3458 eV per atom; DOS at the Fermi energy = 0.990 states/eV/atom; total magnetization = 0.072 μB per atom; space-group type = No. 123; total DFT energy (no corrections) = -6.50 eV per atom
1.0
-0.155 -3.794 1.384
2.241 -1.233 -3.130
10.789 2.076 6.906
Pt U Sb
9 1 2
direct
0.500 0.000 0.156
0.500 0.000 0.844
0.000 0.500 0.156
0.000 0.500 0.844
0.500 0.000 0.500
0.500 0.500 0.312
0.000 0.500 0.500
0.500 0.500 0.000
0.500 0.500 0.688
0.000 0.000 0.000
0.000 0.000 0.349
0.000 0.000 0.651